Record 1
Entry from Alexandria via LeMat-Bulk: a geometry-optimized ReI2NCl structure (PBEsol).

a b c (Å): 3.7398 5.4637 5.4637
angles (deg): 90.00 90.00 90.00
Atoms (fractional coordinates):
I 0.0000 0.0000 0.5000
I 0.0000 0.5000 0.0000
Re 0.0000 0.0000 0.0000
N 0.5000 0.0000 0.0000
Cl 0.5000 0.5000 0.5000

Output
Electronic total energy = -5.15 eV per atom


Record 2
Entry from Alexandria via LeMat-Bulk: a geometry-optimized ReIN2Cl structure (PBEsol).

a b c (Å): 3.8829 3.8829 5.6711
angles (deg): 90.00 90.00 90.00
Atoms (fractional coordinates):
I 0.0000 0.0000 0.5000
Re 0.0000 0.0000 0.0000
N 0.0000 0.5000 0.0000
N 0.5000 0.0000 0.0000
Cl 0.5000 0.5000 0.5000

Output
Electronic total energy = -6.26 eV per atom


Record 3
Entry from Alexandria via LeMat-Bulk: a geometry-optimized RhIN2Cl structure (PBEsol).

a b c (Å): 3.6783 3.6783 6.5564
angles (deg): 90.00 90.00 90.00
Atoms (fractional coordinates):
I 0.0000 0.0000 0.5000
N 0.0000 0.5000 0.0000
N 0.5000 0.0000 0.0000
Rh 0.5000 0.5000 0.5000
Cl 0.0000 0.0000 0.0000

Output
Electronic total energy = -3.59 eV per atom


Record 4
Entry from Alexandria via LeMat-Bulk: a geometry-optimized SbIN2Cl structure (PBEsol).

a b c (Å): 4.0213 4.0213 6.6620
angles (deg): 90.00 90.00 90.00
Atoms (fractional coordinates):
I 0.0000 0.0000 0.5000
Sb 0.0000 0.0000 0.0000
N 0.0000 0.5000 0.0000
N 0.5000 0.0000 0.0000
Cl 0.5000 0.5000 0.5000

Output
Electronic total energy = -3.90 eV per atom


Record 5
Entry from Alexandria via LeMat-Bulk: a geometry-optimized Sb2INCl structure (PBEsol).

a b c (Å): 4.9377 4.7809 4.7809
angles (deg): 90.00 90.00 90.00
Atoms (fractional coordinates):
I 0.5000 0.0000 0.0000
Sb 0.0000 0.0000 0.5000
Sb 0.0000 0.5000 0.0000
N 0.0000 0.0000 0.0000
Cl 0.5000 0.5000 0.5000

Output
Energy above the lowest structure with this stoichiometry = 0.0 meV/atom


Record 6
Entry from Alexandria via LeMat-Bulk: a geometry-optimized TcIN2Cl structure (PBEsol).

a b c (Å): 3.7904 3.7904 6.1220
angles (deg): 90.00 90.00 90.00
Atoms (fractional coordinates):
I 0.0000 0.0000 0.5000
N 0.0000 0.5000 0.0000
N 0.5000 0.0000 0.0000
Tc 0.5000 0.5000 0.5000
Cl 0.0000 0.0000 0.0000

Output
Electronic total energy = -3.88 eV per atom


Record 7
Entry from Alexandria via LeMat-Bulk: a geometry-optimized TeI2NCl structure (PBEsol).

a b c (Å): 5.0054 5.0054 4.6250
angles (deg): 90.00 90.00 90.00
Atoms (fractional coordinates):
I 0.0000 0.5000 0.0000
I 0.5000 0.0000 0.0000
N 0.0000 0.0000 0.0000
Te 0.0000 0.0000 0.5000
Cl 0.5000 0.5000 0.5000

Output
Electronic total energy = -2.74 eV per atom


Record 8
Entry from Alexandria via LeMat-Bulk: a geometry-optimized NaI2Cl structure (PBEsol).

a b c (Å): 5.4556 5.4556 5.4556
angles (deg): 60.00 60.00 60.00
Atoms (fractional coordinates):
I 0.2500 0.2500 0.2500
I 0.7500 0.7500 0.7500
Na 0.0000 0.0000 0.0000
Cl 0.5000 0.5000 0.5000

Output
Electronic total energy = -2.00 eV per atom